# 1
## MnIn2Hg (PBE-GGA)

Data for a relaxed structure of MnIn2Hg.

Computed properties:
* E: -3.479 eV/atom
* total magnetic moment: 7.63 μB/cell
* D(E_F): 0.645 states/eV/atom
* space-group type: C2/m, No. 12
* calculated formation energy: 258 meV/atom

Cell and atoms, written as CIF:
```
data_MnIn2Hg
_cell_length_a 9.341
_cell_length_b 3.248
_cell_length_c 6.048
_cell_angle_alpha 90.00
_cell_angle_beta 101.95
_cell_angle_gamma 90.00
_space_group_name_H-M_alt 'P 1'
_space_group_IT_number 1
loop_
_space_group_symop_operation_xyz
'x,y,z'
loop_
_atom_site_label
_atom_site_fract_x
_atom_site_fract_y
_atom_site_fract_z
Mn1 0.000 0.000 0.000
Mn2 0.500 0.500 0.000
In1 0.243 0.500 0.228
In2 0.257 0.000 0.772
In3 0.743 0.000 0.228
In4 0.757 0.500 0.772
Hg1 0.000 0.500 0.500
Hg2 0.500 0.000 0.500
```



# 2
## LiBeSe2 (PBE-GGA)

Data for a relaxed structure of LiBeSe2.

Computed properties:
* E: -3.247 eV/atom
* formation energy without anion corrections: -0.0945 eV/atom
* total magnetic moment: 0.00 μB/cell
* D(E_F): 0.418 states/eV/atom
* space-group type: P4/mmm, No. 123

Cell and atoms, written as CIF:
```
data_LiBeSe2
_cell_length_a 3.163
_cell_length_b 3.163
_cell_length_c 6.785
_cell_angle_alpha 90.00
_cell_angle_beta 90.00
_cell_angle_gamma 90.00
_space_group_name_H-M_alt 'P 1'
_space_group_IT_number 1
loop_
_space_group_symop_operation_xyz
'x,y,z'
loop_
_atom_site_label
_atom_site_fract_x
_atom_site_fract_y
_atom_site_fract_z
Li1 0.000 0.000 0.000
Be1 0.000 0.000 0.500
Se1 0.500 0.500 0.279
Se2 0.500 0.500 0.721
```



# 3
## Re3Ru4Rh2 (PBE-GGA)

Data for a relaxed structure of Re3Ru4Rh2.

Computed properties:
* E: -10.011 eV/atom
* total magnetic moment: 0.00 μB/cell
* D(E_F): 0.827 states/eV/atom
* space-group type: P-1, No. 2
* calculated formation energy: -105 meV/atom

Cell and atoms, written as CIF:
```
data_Re3Ru4Rh2
_cell_length_a 5.148
_cell_length_b 7.014
_cell_length_c 7.271
_cell_angle_alpha 98.60
_cell_angle_beta 95.86
_cell_angle_gamma 96.01
_space_group_name_H-M_alt 'P 1'
_space_group_IT_number 1
loop_
_space_group_symop_operation_xyz
'x,y,z'
loop_
_atom_site_label
_atom_site_fract_x
_atom_site_fract_y
_atom_site_fract_z
Re1 0.037 0.286 0.224
Re2 0.295 0.048 0.776
Re3 0.369 0.623 0.224
Re4 0.631 0.377 0.776
Re5 0.705 0.952 0.224
Re6 0.963 0.714 0.776
Ru1 0.075 0.827 0.445
Ru2 0.147 0.398 0.887
Ru3 0.185 0.935 0.114
Ru4 0.406 0.155 0.446
Ru5 0.594 0.845 0.554
Ru6 0.815 0.065 0.886
Ru7 0.853 0.602 0.113
Ru8 0.925 0.173 0.555
Rh1 0.260 0.509 0.553
Rh2 0.482 0.732 0.889
Rh3 0.518 0.268 0.111
Rh4 0.740 0.491 0.447
```



- total magnetic moment of number 2 (LiBeSe2)?
  0.00 μB/cell



- Which of these has the lowest D(E_F)?
  LiBeSe2



What did the third record say?
## Re3Ru4Rh2 (PBE-GGA)

Data for a relaxed structure of Re3Ru4Rh2.

Computed properties:
* E: -10.011 eV/atom
* total magnetic moment: 0.00 μB/cell
* D(E_F): 0.827 states/eV/atom
* space-group type: P-1, No. 2
* calculated formation energy: -105 meV/atom

Cell and atoms, written as CIF:
```
data_Re3Ru4Rh2
_cell_length_a 5.148
_cell_length_b 7.014
_cell_length_c 7.271
_cell_angle_alpha 98.60
_cell_angle_beta 95.86
_cell_angle_gamma 96.01
_space_group_name_H-M_alt 'P 1'
_space_group_IT_number 1
loop_
_space_group_symop_operation_xyz
'x,y,z'
loop_
_atom_site_label
_atom_site_fract_x
_atom_site_fract_y
_atom_site_fract_z
Re1 0.037 0.286 0.224
Re2 0.295 0.048 0.776
Re3 0.369 0.623 0.224
Re4 0.631 0.377 0.776
Re5 0.705 0.952 0.224
Re6 0.963 0.714 0.776
Ru1 0.075 0.827 0.445
Ru2 0.147 0.398 0.887
Ru3 0.185 0.935 0.114
Ru4 0.406 0.155 0.446
Ru5 0.594 0.845 0.554
Ru6 0.815 0.065 0.886
Ru7 0.853 0.602 0.113
Ru8 0.925 0.173 0.555
Rh1 0.260 0.509 0.553
Rh2 0.482 0.732 0.889
Rh3 0.518 0.268 0.111
Rh4 0.740 0.491 0.447
```